Record 1
Here is crystalline NaAl2InIr at its relaxed geometry from Alexandria via LeMat-Bulk. Energies are from PBE.

a b c (Å): 5.1703 5.1703 5.0652
angles (deg): 90.00 90.00 90.00
Space group P4/mmm (No. 123)
Inequivalent atoms, fractional coordinates:
Na 0.0000 0.0000 0.0000
Al 0.0000 0.5000 0.5000
In 0.5000 0.5000 0.5000
Ir 0.5000 0.5000 0.0000

Computed properties:
**Total energy**: -15.8 eV/cell
**Energy of formation**: 0.93 eV/atom


Record 2
Here is crystalline Ac2La4Pb3N2 at its relaxed geometry from Alexandria via LeMat-Bulk. Energies are from PBE.

a b c (Å): 5.0466 5.0466 27.2375
angles (deg): 90.00 90.00 90.00
Space group I4/mmm (No. 139)
Inequivalent atoms, fractional coordinates:
Ac 0.0000 0.0000 0.1937
La 0.0000 0.5000 0.0837
Pb 0.0000 0.0000 0.3261
Pb 0.0000 0.0000 0.5000
N 0.0000 0.0000 0.1026

Computed properties:
**Total energy**: -130.6 eV/cell
**Formation energy (no corrections)**: -874 meV per atom


Record 3
Here is crystalline Sr2CrAg at its relaxed geometry from Alexandria via LeMat-Bulk. Energies are from PBE.

a b c (Å): 7.7439 7.7439 7.7439
angles (deg): 90.00 90.00 90.00
Space group F-43m (No. 216)
Inequivalent atoms, fractional coordinates:
Sr 0.0000 0.0000 0.0000
Sr 0.2500 0.2500 0.2500
Cr 0.2500 0.2500 0.7500
Ag 0.0000 0.0000 0.5000

Computed properties:
**Energy relative to the lowest polymorph listed for this composition**: 249 meV per atom
**Total energy**: -56.3 eV/cell
**Energy of formation**: 0.44 eV/atom


Record 4
Here is crystalline Ce2PaB9 at its relaxed geometry from Alexandria via LeMat-Bulk. Energies are from PBE.

a b c (Å): 4.4167 4.4167 28.1651
angles (deg): 90.00 90.00 120.00
Space group R-3m (No. 166, hexagonal axes)
Inequivalent atoms, fractional coordinates:
Ce 0.0000 0.0000 0.1196
Pa 0.0000 0.0000 0.0000
B 0.0000 0.0000 0.3930
B 0.0000 0.0000 0.5000
B 0.0904 0.5452 0.9416

Computed properties:
**Total energy**: -250.8 eV/cell
**Energy of formation**: -0.18 eV/atom


Record 5
Here is crystalline Ba2TlGe2 at its relaxed geometry from Alexandria via LeMat-Bulk. Energies are from PBE.

a b c (Å): 5.5996 5.5996 12.1830
angles (deg): 90.00 90.00 90.00
Space group I4/mmm (No. 139)
Inequivalent atoms, fractional coordinates:
Ba 0.0000 0.5000 0.2500
Tl 0.0000 0.0000 0.0000
Ge 0.0000 0.0000 0.4038

Computed properties:
**Total energy**: -32.3 eV/cell
**Energy of formation**: -0.14 eV/atom


Record 6
Here is crystalline Pm2Sb at its relaxed geometry from Alexandria via LeMat-Bulk. Energies are from PBE.

a b c (Å): 11.7462 4.2368 8.6705
angles (deg): 90.00 118.85 90.00
Space group C2/m (No. 12)
Inequivalent atoms, fractional coordinates:
Pm 0.0717 0.0000 0.3500
Pm 0.1558 0.5000 0.0537
Sb 0.1573 0.5000 0.6731

Computed properties:
**Energy relative to the lowest polymorph listed for this composition**: 140 meV per atom
**Total energy**: -63.0 eV/cell
**Formation energy (no corrections)**: -708 meV per atom


Record 7
Here is crystalline ZrTaMn at its relaxed geometry from Alexandria via LeMat-Bulk. Energies are from PBE.

a b c (Å): 4.3822 4.3822 3.0973
angles (deg): 90.00 90.00 120.00
Space group P3m1 (No. 156)
Inequivalent atoms, fractional coordinates:
Zr 0.0000 0.0000 0.0000
Ta 0.6667 0.3333 0.5819
Mn 0.3333 0.6667 0.3181

Computed properties:
**Energy relative to the lowest polymorph listed for this composition**: 245 meV per atom
**Total energy**: -29.2 eV/cell
**Energy of formation**: 0.13 eV/atom


Record 8
Here is crystalline CsSb at its relaxed geometry from Alexandria via LeMat-Bulk. Energies are from PBE.

a b c (Å): 14.6223 14.6223 4.6255
angles (deg): 90.00 90.00 90.00
Space group I4/m (No. 87)
Inequivalent atoms, fractional coordinates:
Cs 0.0138 0.7464 0.0000
Sb 0.1937 0.2260 0.5000

Computed properties:
**Energy relative to the lowest polymorph listed for this composition**: 116 meV per atom
**Total energy**: -45.4 eV/cell
**Formation energy (no corrections)**: -347 meV per atom


Record 9
Here is crystalline Li3Pm2DySe6 at its relaxed geometry from Alexandria via LeMat-Bulk. Energies are from PBE.

a b c (Å): 7.1751 12.4281 6.9394
angles (deg): 90.00 110.15 90.00
Space group C2/m (No. 12)
Inequivalent atoms, fractional coordinates:
Li 0.0000 0.0000 0.0000
Li 0.0000 0.3356 0.0000
Pm 0.0000 0.1669 0.5000
Dy 0.0000 0.5000 0.5000
Se 0.2418 0.5000 0.2445
Se 0.2491 0.3366 0.7570

Computed properties:
**Total energy**: -121.8 eV/cell
**Formation energy (no corrections)**: -1680 meV per atom


Record 10
Here is crystalline LaTc3Sb at its relaxed geometry from Alexandria via LeMat-Bulk. Energies are from PBE.

a b c (Å): 4.8486 4.8486 4.8486
angles (deg): 90.00 90.00 90.00
Space group Pm-3m (No. 221)
Inequivalent atoms, fractional coordinates:
La 0.0000 0.0000 0.0000
Tc 0.0000 0.0000 0.5000
Sb 0.5000 0.5000 0.5000

Computed properties:
**Energy relative to the lowest polymorph listed for this composition**: 944 meV per atom
**Total energy**: -30.1 eV/cell
**Formation energy (no corrections)**: 2001 meV per atom


Record 11
Here is crystalline Pu2NiPt at its relaxed geometry from Alexandria via LeMat-Bulk. Energies are from PBE.

a b c (Å): 4.0174 4.0174 19.4262
angles (deg): 90.00 90.00 120.00
Space group R-3m (No. 166, hexagonal axes)
Inequivalent atoms, fractional coordinates:
Pu 0.0000 0.0000 0.2458
Ni 0.0000 0.0000 0.5000
Pt 0.0000 0.0000 0.0000

Computed properties:
**Energy relative to the lowest polymorph listed for this composition**: 161 meV per atom
**Total energy**: -124.9 eV/cell
**Energy of formation**: -0.28 eV/atom


Record 12
Here is crystalline ScAg5S4 at its relaxed geometry from Alexandria via LeMat-Bulk. Energies are from PBE.

a b c (Å): 15.9580 3.9066 7.2741
angles (deg): 90.00 117.05 90.00
Space group C2/m (No. 12)
Inequivalent atoms, fractional coordinates:
Sc 0.0000 0.0000 0.0000
Ag 0.0000 0.0000 0.5000
Ag 0.1768 0.5000 0.4641
Ag 0.1768 0.5000 0.8915
S 0.0001 0.5000 0.2457
S 0.1834 0.0000 0.1833

Computed properties:
**Total energy**: -82.6 eV/cell
**Formation energy (no corrections)**: -419 meV per atom


Spin magnetization (μB per formula unit)
0.000; 0.000; 5.408; 0.722; 0.000; 0.000; 0.000; 0.000; 0.000; 1.775; 10.396; 0.000